TlOs2Pt PBE-GGA relaxed; energy above the lowest structure with this stoichiometry = 418 meV/atom; ΔE_f = 0.805 eV/atom; crystal system = orthorhombic; Fermi-level density of states = 5.01 states/eV per cell
1.0
2.824 0.000 0.000
0.000 4.814 0.000
0.000 0.000 4.917
Tl Os Pt
1 2 1
Direct
0.000 0.000 0.000 Tl
0.000 0.500 0.500 Os
0.500 0.000 0.500 Os
0.500 0.500 0.000 Pt

=====

BeCuTc3 PBE-GGA relaxed; energy above the lowest structure with this stoichiometry = 0 meV/atom; ΔE_f = 0.798 eV/atom; crystal system = cubic; Fermi-level density of states = 5.71 states/eV per cell
1.0
4.103 0.000 0.000
0.000 4.103 0.000
0.000 0.000 4.103
Be Cu Tc
1 1 3
Direct
0.000 0.000 0.000 Be
0.500 0.500 0.500 Cu
0.000 0.000 0.500 Tc
0.000 0.500 0.000 Tc
0.500 0.000 0.000 Tc

=====

TbZn4Ag2 PBE-GGA relaxed; ΔE_f = -0.208 eV/atom; crystal system = monoclinic; Fermi-level density of states = 2.55 states/eV per cell
1.0
4.320 -3.415 0.000
4.320 3.415 0.000
-3.317 0.000 4.204
Tb Zn Ag
1 4 2
Direct
0.000 0.000 0.000 Tb
0.001 0.379 0.692 Zn
0.379 0.001 0.692 Zn
0.621 0.999 0.308 Zn
0.999 0.621 0.308 Zn
0.498 0.498 0.748 Ag
0.502 0.502 0.252 Ag

=====

MoOsRh PBE-GGA relaxed; energy above the lowest structure with this stoichiometry = 404 meV/atom; ΔE_f = 0.274 eV/atom; crystal system = orthorhombic; Fermi-level density of states = 7.79 states/eV per cell
1.0
2.302 -2.341 0.000
2.302 2.341 0.000
0.000 0.000 8.495
Mo Os Rh
2 2 2
Direct
0.236 0.764 0.500 Mo
0.764 0.236 0.000 Mo
0.233 0.767 0.847 Os
0.767 0.233 0.347 Os
0.230 0.770 0.168 Rh
0.770 0.230 0.668 Rh

=====

La2ZnSb3Pt4 PBE-GGA relaxed; formation energy without anion corrections = -0.91 eV/atom; crystal system = tetragonal; Fermi-level density of states = 5.32 states/eV per cell
1.0
4.581 0.000 0.000
0.000 4.581 0.000
0.000 0.000 10.614
La Zn Sb Pt
2 1 3 4
Direct
0.000 0.500 0.244 La
0.500 0.000 0.756 La
0.000 0.000 0.500 Zn
0.000 0.500 0.866 Sb
0.500 0.000 0.134 Sb
0.500 0.500 0.500 Sb
0.000 0.000 0.000 Pt
0.000 0.500 0.621 Pt
0.500 0.000 0.379 Pt
0.500 0.500 0.000 Pt

=====

ZrHg2Sb PBE-GGA relaxed; formation energy without anion corrections = -0.18 eV/atom; crystal system = monoclinic; Fermi-level density of states = 1.33 states/eV per cell
1.0
3.870 0.000 0.000
0.000 3.870 0.000
-0.005 0.000 6.342
Zr Hg Sb
1 2 1
Direct
0.000 0.000 0.000 Zr
0.497 0.500 0.282 Hg
0.998 0.000 0.506 Hg
0.500 0.500 0.813 Sb

=====

Nb4ReMo5 PBE-GGA relaxed; ΔE_f = -0.113 eV/atom; crystal system = tetragonal; Fermi-level density of states = 4.87 states/eV per cell
1.0
3.209 0.000 0.000
0.000 3.209 0.000
0.000 0.000 16.124
Nb Re Mo
4 1 5
Direct
0.000 0.000 0.101 Nb
0.000 0.000 0.302 Nb
0.000 0.000 0.698 Nb
0.000 0.000 0.899 Nb
0.000 0.000 0.500 Re
0.500 0.500 0.000 Mo
0.500 0.500 0.203 Mo
0.500 0.500 0.404 Mo
0.500 0.500 0.596 Mo
0.500 0.500 0.797 Mo

=====

GaAg3Br PBE-GGA relaxed; formation energy without anion corrections = 0.68 eV/atom; energy above the lowest structure with this stoichiometry = 266 meV/atom; crystal system = cubic; Fermi-level density of states = 4.23 states/eV per cell
1.0
5.243 0.000 0.000
0.000 5.243 0.000
0.000 0.000 5.243
Ga Ag Br
1 3 1
Direct
0.000 0.000 0.000 Ga
0.000 0.500 0.500 Ag
0.500 0.000 0.500 Ag
0.500 0.500 0.000 Ag
0.500 0.500 0.500 Br

=====

Pm2Be3Pt4Au PBE-GGA relaxed; ΔE_f = -0.805 eV/atom; crystal system = tetragonal; Fermi-level density of states = 2.33 states/eV per cell
1.0
4.040 0.000 0.000
0.000 4.040 0.000
0.000 0.000 10.524
Pm Be Pt Au
2 3 4 1
Direct
0.000 0.500 0.240 Pm
0.500 0.000 0.760 Pm
0.000 0.500 0.890 Be
0.500 0.000 0.110 Be
0.500 0.500 0.500 Be
0.000 0.000 0.000 Pt
0.000 0.500 0.671 Pt
0.500 0.000 0.329 Pt
0.500 0.500 0.000 Pt
0.000 0.000 0.500 Au

=====

TaAgPt4 PBE-GGA relaxed; ΔE_f = -0.145 eV/atom; crystal system = cubic; Fermi-level density of states = 3.89 states/eV per cell
1.0
0.000 3.705 3.705
3.705 0.000 3.705
3.705 3.705 0.000
Ta Ag Pt
1 1 4
Direct
0.000 0.000 0.000 Ta
0.750 0.750 0.750 Ag
0.375 0.375 0.375 Pt
0.375 0.375 0.875 Pt
0.375 0.875 0.375 Pt
0.875 0.375 0.375 Pt

=====

The highest Fermi-level density of states belongs to which entry? MoOsRh